A) Computed, not measured: a relaxed structure of Tl8HgS4 at the PBE level of DFT.

Geometry as CIF:
```
data_Tl8HgS4
_chemical_formula_sum 'Tl8 Hg1 S4'
_space_group_name_H-M_alt 'P 1'
_space_group_IT_number 1
_cell_length_a 8.437
_cell_length_b 8.437
_cell_length_c 9.192
_cell_angle_alpha 90.00
_cell_angle_beta 117.32
_cell_angle_gamma 120.00
loop_
_space_group_symop_operation_xyz
'x,y,z'
loop_
_atom_site_label
_atom_site_fract_x
_atom_site_fract_y
_atom_site_fract_z
Tl1 0.479 0.739 0.218
Tl2 0.521 0.261 0.782
Tl3 0.473 0.236 0.214
Tl4 0.023 0.259 0.786
Tl5 0.527 0.764 0.786
Tl6 0.023 0.764 0.786
Tl7 0.977 0.236 0.214
Tl8 0.977 0.741 0.214
Hg1 0.000 0.500 0.500
S1 0.000 0.000 0.000
S2 0.000 0.500 0.000
S3 0.500 0.500 0.000
S4 0.500 0.000 0.000
```

Properties
space group	R-3m, No. 166
crystal system	trigonal
density of states at the Fermi level	0.1	states/eV/cell



B) Computed, not measured: a relaxed structure of Tl8HgS4 at the PBE level of DFT.

Geometry as CIF:
```
data_Tl8HgS4
_chemical_formula_sum 'Tl8 Hg1 S4'
_space_group_name_H-M_alt 'P 1'
_space_group_IT_number 1
_cell_length_a 8.844
_cell_length_b 8.844
_cell_length_c 8.844
_cell_angle_alpha 60.00
_cell_angle_beta 60.00
_cell_angle_gamma 60.00
loop_
_space_group_symop_operation_xyz
'x,y,z'
loop_
_atom_site_label
_atom_site_fract_x
_atom_site_fract_y
_atom_site_fract_z
Tl1 0.604 0.132 0.132
Tl2 0.132 0.604 0.132
Tl3 0.132 0.132 0.604
Tl4 0.132 0.132 0.132
Tl5 0.177 0.608 0.608
Tl6 0.608 0.177 0.608
Tl7 0.608 0.608 0.177
Tl8 0.608 0.608 0.608
Hg1 0.750 0.750 0.750
S1 0.885 0.372 0.372
S2 0.372 0.885 0.372
S3 0.372 0.372 0.885
S4 0.372 0.372 0.372
```

Properties
space group	F-43m, No. 216
crystal system	cubic



Relative to the most stable structure, the computed energies are A) 0.0; B) 3.4, all in kJ/mol of atoms.



A) Computed, not measured: a relaxed structure of TlHgS at the PBE level of DFT.

Geometry as CIF:
```
data_TlHgS
_chemical_formula_sum 'Tl1 Hg1 S1'
_space_group_name_H-M_alt 'P 1'
_space_group_IT_number 1
_cell_length_a 3.714
_cell_length_b 3.714
_cell_length_c 6.068
_cell_angle_alpha 107.82
_cell_angle_beta 107.82
_cell_angle_gamma 90.00
loop_
_space_group_symop_operation_xyz
'x,y,z'
loop_
_atom_site_label
_atom_site_fract_x
_atom_site_fract_y
_atom_site_fract_z
S1 0.680 0.680 0.360
Tl1 0.014 0.014 0.028
Hg1 0.306 0.306 0.613
```

Properties
space group	I4mm, No. 107
crystal system	tetragonal
density of states at the Fermi level	1.3	states/eV/cell



B) Computed, not measured: a relaxed structure of TlHgS at the PBE level of DFT.

Geometry as CIF:
```
data_TlHgS
_chemical_formula_sum 'Tl1 Hg1 S1'
_space_group_name_H-M_alt 'P 1'
_space_group_IT_number 1
_cell_length_a 5.262
_cell_length_b 6.767
_cell_length_c 6.763
_cell_angle_alpha 53.32
_cell_angle_beta 39.39
_cell_angle_gamma 39.37
loop_
_space_group_symop_operation_xyz
'x,y,z'
loop_
_atom_site_label
_atom_site_fract_x
_atom_site_fract_y
_atom_site_fract_z
Tl1 0.154 0.805 0.584
Hg1 0.505 0.307 0.086
S1 0.989 0.306 0.085
```

Properties
space group	Cm, No. 8
crystal system	monoclinic
density of states at the Fermi level	0.1	states/eV/cell



Relative to the most stable structure, the computed energies are A) 11.9; B) 0.0, all in kJ/mol of atoms.



A) Computed, not measured: a relaxed structure of TlHgS at the PBE level of DFT.

Geometry as CIF:
```
data_TlHgS
_chemical_formula_sum 'Tl1 Hg1 S1'
_space_group_name_H-M_alt 'P 1'
_space_group_IT_number 1
_cell_length_a 4.110
_cell_length_b 4.110
_cell_length_c 5.371
_cell_angle_alpha 90.00
_cell_angle_beta 90.00
_cell_angle_gamma 120.00
loop_
_space_group_symop_operation_xyz
'x,y,z'
loop_
_atom_site_label
_atom_site_fract_x
_atom_site_fract_y
_atom_site_fract_z
S1 0.333 0.667 0.681
Tl1 0.667 0.333 0.358
Hg1 0.000 0.000 0.961
```

Properties
space group	P3m1, No. 156
crystal system	trigonal
density of states at the Fermi level	1.8	states/eV/cell



B) Computed, not measured: a relaxed structure of TlHgS at the PBE level of DFT.

Geometry as CIF:
```
data_TlHgS
_chemical_formula_sum 'Tl1 Hg1 S1'
_space_group_name_H-M_alt 'P 1'
_space_group_IT_number 1
_cell_length_a 5.011
_cell_length_b 5.011
_cell_length_c 5.011
_cell_angle_alpha 60.00
_cell_angle_beta 60.00
_cell_angle_gamma 60.00
loop_
_space_group_symop_operation_xyz
'x,y,z'
loop_
_atom_site_label
_atom_site_fract_x
_atom_site_fract_y
_atom_site_fract_z
S1 0.250 0.250 0.250
Tl1 0.500 0.500 0.500
Hg1 0.000 0.000 0.000
```

Properties
space group	F-43m, No. 216
crystal system	cubic
density of states at the Fermi level	2.1	states/eV/cell



Relative to the most stable structure, the computed energies are A) 0.0; B) 11.9, all in kJ/mol of atoms.